No. 1
Gd2In5Au3 after structural relaxation, computed with PBE.

a = 4.5524 Å, b = 27.1378 Å, c = 7.5272 Å
α = 90.00°, β = 90.00°, γ = 90.00°
Space group Cmc2_1 (No. 36)
Symmetry-distinct sites (fractional):
Gd1 0.0000 0.0214 0.0000 (multiplicity 4)
Gd2 0.0000 0.3242 0.9365 (multiplicity 4)
In1 0.0000 0.0991 0.6297 (multiplicity 4)
In2 0.0000 0.2055 0.7261 (multiplicity 4)
In3 0.0000 0.2072 0.1446 (multiplicity 4)
In4 0.0000 0.3798 0.4836 (multiplicity 4)
In5 0.0000 0.4465 0.8374 (multiplicity 4)
Au1 0.0000 0.1091 0.2433 (multiplicity 4)
Au2 0.0000 0.2744 0.4353 (multiplicity 4)
Au3 0.0000 0.4565 0.2203 (multiplicity 4)

Values from the calculation:
DFT total energy = -3.79 eV per atom


No. 2
GdInAu after structural relaxation, computed with PBE.

a = 7.7485 Å, b = 7.7485 Å, c = 4.0540 Å
α = 90.00°, β = 90.00°, γ = 120.00°
Space group P-62m (No. 189)
Symmetry-distinct sites (fractional):
Gd1 0.0000 0.5924 0.0000 (multiplicity 3)
In1 0.0000 0.2588 0.5000 (multiplicity 3)
Au1 0.0000 0.0000 0.0000 (multiplicity 1)
Au2 0.3333 0.6667 0.5000 (multiplicity 2)

Values from the calculation:
DFT total energy = -4.30 eV per atom


No. 3
Gd2InAu2 after structural relaxation, computed with PBE.

a = 7.9685 Å, b = 7.9685 Å, c = 3.7856 Å
α = 90.00°, β = 90.00°, γ = 90.00°
Space group P4/mbm (No. 127)
Symmetry-distinct sites (fractional):
Gd1 0.1707 0.3293 0.0000 (multiplicity 4)
In1 0.0000 0.0000 0.5000 (multiplicity 2)
Au1 0.1284 0.6284 0.5000 (multiplicity 4)

Values from the calculation:
DFT total energy = -4.53 eV per atom
energy above the most stable polymorph in this dataset = 0.000 eV/atom


No. 4
GdInAu after structural relaxation, computed with PBE.

a = 7.4022 Å, b = 7.4022 Å, c = 4.5082 Å
α = 90.00°, β = 90.00°, γ = 120.00°
Space group P-62m (No. 189)
Symmetry-distinct sites (fractional):
Gd1 0.0000 0.5714 0.0000 (multiplicity 3)
In1 0.0000 0.0000 0.0000 (multiplicity 1)
In2 0.3333 0.6667 0.5000 (multiplicity 2)
Au1 0.0000 0.2476 0.5000 (multiplicity 3)

Values from the calculation:
DFT total energy = -4.12 eV per atom


No. 5
Gd3In3Ir2Au after structural relaxation, computed with PBE.

a = 7.6441 Å, b = 7.6441 Å, c = 3.9798 Å
α = 90.00°, β = 90.00°, γ = 120.00°
Space group P-62m (No. 189)
Symmetry-distinct sites (fractional):
Gd1 0.0000 0.4102 0.0000 (multiplicity 3)
In1 0.0000 0.7341 0.5000 (multiplicity 3)
Ir1 0.3333 0.6667 0.5000 (multiplicity 2)
Au1 0.0000 0.0000 0.0000 (multiplicity 1)

Values from the calculation:
DFT total energy = -5.49 eV per atom


No. 6
Gd3MgIn2Ir2Au after structural relaxation, computed with PBE.

a = 4.0274 Å, b = 13.1034 Å, c = 7.5473 Å
α = 90.00°, β = 90.00°, γ = 90.00°
Space group Amm2 (No. 38)
Symmetry-distinct sites (fractional):
Gd1 0.0000 0.0000 0.0000 (multiplicity 2)
Gd2 0.0000 0.2084 0.6150 (multiplicity 4)
Mg1 0.5000 0.0000 0.6706 (multiplicity 2)
In1 0.5000 0.1292 0.2808 (multiplicity 4)
Ir1 0.5000 0.1657 0.9093 (multiplicity 4)
Au1 0.0000 0.0000 0.4256 (multiplicity 2)

Values from the calculation:
DFT total energy = -5.35 eV per atom


No. 7
Gd3In3NiIrAu after structural relaxation, computed with PBE.

a = 7.7410 Å, b = 7.7410 Å, c = 3.8155 Å
α = 90.00°, β = 90.00°, γ = 120.00°
Space group P-6 (No. 174)
Symmetry-distinct sites (fractional):
Gd1 0.0865 0.7339 0.0000 (multiplicity 3)
In1 0.4206 0.0865 0.5000 (multiplicity 3)
Ni1 0.6667 0.3333 0.0000 (multiplicity 1)
Ir1 0.3333 0.6667 0.5000 (multiplicity 1)
Au1 0.0000 0.0000 0.5000 (multiplicity 1)

Values from the calculation:
DFT total energy = -5.13 eV per atom


No. 8
Gd2YIn3Ir2Au after structural relaxation, computed with PBE.

a = 3.9313 Å, b = 13.2906 Å, c = 7.6583 Å
α = 90.00°, β = 90.00°, γ = 90.00°
Space group Amm2 (No. 38)
Symmetry-distinct sites (fractional):
Gd1 0.0000 0.2046 0.0000 (multiplicity 4)
Y1 0.0000 0.0000 0.3876 (multiplicity 2)
In1 0.5000 0.0000 0.0643 (multiplicity 2)
In2 0.5000 0.1330 0.6615 (multiplicity 4)
Ir1 0.5000 0.1671 0.2956 (multiplicity 4)
Au1 0.0000 0.0000 0.7958 (multiplicity 2)

Values from the calculation:
DFT total energy = -5.70 eV per atom